Record 1
The following is a PBE calculation of crystalline CaLaGaNi at its relaxed geometry, from the Alexandria database.

ΔE_f in kJ/mol of formula units: -143

Unit cell a=4.022 b=4.139 c=11.964 alpha=90.00 beta=90.00 gamma=90.00
Space group Amm2 (No. 38)
Asymmetric unit:
1 Ca 0.000 0.000 0.000
2 La 0.500 0.000 0.286
3 Ga 0.500 0.000 0.585
4 Ni 0.000 0.000 0.716

***

Record 2
The following is a PBE calculation of crystalline CaLaGaNi at its relaxed geometry, from the Alexandria database.

ΔE_f in kJ/mol of formula units: -111

Unit cell a=7.237 b=7.237 c=7.237 alpha=90.00 beta=90.00 gamma=90.00
Space group F-43m (No. 216)
Asymmetric unit:
1 Ca 0.000 0.000 0.000
2 La 0.000 0.000 0.500
3 Ga 0.250 0.250 0.750
4 Ni 0.250 0.250 0.250

***

Energy relative to the lowest polymorph listed for this composition values, unit meV/atom, following the record order: 0; 83.